[1]
Computed, not measured: a geometry-optimized La3HgN structure at the PBE-GGA level of DFT. Values from VASP.

```
&SYSTEM
  ibrav = 0, nat = 5, ntyp = 3
/
ATOMIC_SPECIES
La 138.91 La.upf
N 14.01 N.upf
Hg 200.59 Hg.upf
ATOMIC_POSITIONS crystal
La 0.870 0.289 0.870
N 0.062 0.062 0.062
Hg 0.785 0.785 0.785
La 0.289 0.870 0.870
La 0.870 0.870 0.289
CELL_PARAMETERS angstrom
0.639 3.267 5.307
-3.206 -4.434 3.050
5.369 -3.017 1.145
```

Computed properties:
For the formation energy without anion corrections, the calculation gives -144 meV/atom.

***

[2]
Computed, not measured: a geometry-optimized Tl2Hg3H structure at the PBE-GGA level of DFT. Values from VASP.

```
&SYSTEM
  ibrav = 0, nat = 12, ntyp = 3
/
ATOMIC_SPECIES
Hg 200.59 Hg.upf
Tl 204.38 Tl.upf
H 1.01 H.upf
ATOMIC_POSITIONS crystal
Hg 0.592 0.836 0.994
Tl 0.214 0.434 0.844
Hg 0.065 0.188 0.601
H 0.725 0.605 0.772
Hg 0.408 0.164 0.006
Hg 0.327 0.703 0.556
Tl 0.232 0.916 0.766
Hg 0.673 0.297 0.444
Tl 0.786 0.566 0.156
Tl 0.768 0.084 0.234
H 0.275 0.395 0.228
Hg 0.935 0.812 0.399
CELL_PARAMETERS angstrom
0.197 2.668 4.657
-4.812 -5.891 -2.967
4.387 -8.376 4.573
```

Computed properties:
For the final energy, the calculation gives -16.4 eV for the cell shown.

***

Spin magnetization for every record listed, in sequence, given in μB per formula unit: 0.00, 0.00.